Here is a relaxed RbYNiF6 crystal from Alexandria via LeMat-Bulk. Energies are from PBE+U.

Computed properties:
M_tot in μB per formula unit: 2.0
Electronic total energy in eV/cell: -99.023
Crystal system: orthorhombic
Space-group type: Imma, No. 74
Density in g/cm3: 4.02

```
RbYNiF6
1.0
-3.639 3.840 5.129
3.639 -3.840 5.129
3.639 3.840 -5.129
Rb Y Ni F
2 2 2 12
direct
0.339 0.089 0.250 Rb
0.661 0.911 0.750 Rb
0.000 0.500 0.500 Y
0.500 0.500 0.000 Y
0.000 0.000 0.500 Ni
0.000 0.500 0.000 Ni
0.059 0.353 0.180 F
0.059 0.879 0.706 F
0.083 0.333 0.750 F
0.327 0.121 0.680 F
0.327 0.647 0.206 F
0.359 0.609 0.750 F
0.641 0.391 0.250 F
0.673 0.353 0.794 F
0.673 0.879 0.320 F
0.917 0.667 0.250 F
0.941 0.121 0.294 F
0.941 0.647 0.820 F
```